An optimized crystal structure of NpCrTc2, computed with PBE.

a = 4.506 Å, b = 4.506 Å, c = 4.506 Å
α = 60.00°, β = 60.00°, γ = 60.00°
Fractional coordinates of all 4 atoms:
Np  0.000  0.000  0.000
Cr  0.500  0.500  0.500
Tc  0.250  0.250  0.250
Tc  0.750  0.750  0.750

Summary:
offset from the most stable computed form: 101.0 meV per atom


An optimized crystal structure of Sc2ZnGa2Pt5, computed with PBE.

a = 9.409 Å, b = 9.409 Å, c = 3.756 Å
α = 90.00°, β = 90.00°, γ = 90.00°
Fractional coordinates of all 20 atoms:
Sc  0.173  0.327  0.000
Sc  0.327  0.827  0.000
Sc  0.673  0.173  0.000
Sc  0.827  0.673  0.000
Zn  0.000  0.000  0.000
Zn  0.500  0.500  0.000
Ga  0.127  0.627  0.000
Ga  0.373  0.127  0.000
Ga  0.627  0.873  0.000
Ga  0.873  0.373  0.000
Pt  0.000  0.500  0.500
Pt  0.069  0.799  0.500
Pt  0.201  0.069  0.500
Pt  0.299  0.569  0.500
Pt  0.431  0.299  0.500
Pt  0.500  0.000  0.500
Pt  0.569  0.701  0.500
Pt  0.701  0.431  0.500
Pt  0.799  0.931  0.500
Pt  0.931  0.201  0.500

Summary:
energy: -116.480 eV/cell


An optimized crystal structure of LaNdBeCu, computed with PBE.

a = 5.103 Å, b = 5.103 Å, c = 5.103 Å
α = 60.00°, β = 60.00°, γ = 60.00°
Fractional coordinates of all 4 atoms:
La  0.000  0.000  0.000
Nd  0.500  0.500  0.500
Be  0.750  0.750  0.750
Cu  0.250  0.250  0.250

Summary:
energy: -17.288 eV/cell


An optimized crystal structure of HIF2, computed with PBE.

a = 4.293 Å, b = 4.293 Å, c = 4.293 Å
α = 60.00°, β = 60.00°, γ = 60.00°
Fractional coordinates of all 4 atoms:
H  0.000  0.000  0.000
I  0.500  0.500  0.500
F  0.250  0.250  0.250
F  0.750  0.750  0.750

Summary:
offset from the most stable computed form: 1423.2 meV per atom


An optimized crystal structure of BeCdSe, computed with PBE.

a = 6.630 Å, b = 6.160 Å, c = 3.502 Å
α = 81.66°, β = 66.83°, γ = 31.51°
Fractional coordinates of all 3 atoms:
Be  0.000  0.000  0.000
Cd  0.328  0.328  0.672
Se  0.599  0.599  0.401

Summary:
offset from the most stable computed form: 314.3 meV per atom
ΔE_f (raw): 0.09 eV/atom


An optimized crystal structure of SrFeSbTe2, computed with PBE.

a = 5.495 Å, b = 5.495 Å, c = 4.874 Å
α = 90.00°, β = 90.00°, γ = 90.00°
Fractional coordinates of all 5 atoms:
Sr  0.000  0.000  0.000
Fe  0.500  0.500  0.500
Sb  0.500  0.500  0.000
Te  0.000  0.500  0.500
Te  0.500  0.000  0.500

Summary:
ΔE_f (raw): -0.30 eV/atom


An optimized crystal structure of AgOF2, computed with PBE.

a = 6.417 Å, b = 6.417 Å, c = 6.417 Å
α = 31.09°, β = 31.09°, γ = 31.09°
Fractional coordinates of all 4 atoms:
Ag  0.000  0.000  0.000
O  0.500  0.500  0.500
F  0.405  0.405  0.405
F  0.595  0.595  0.595

Summary:
offset from the most stable computed form: 741.3 meV per atom
ΔE_f (raw): -0.07 eV/atom


An optimized crystal structure of Mg2CoGeTe, computed with PBE.

a = 5.081 Å, b = 5.081 Å, c = 4.546 Å
α = 90.00°, β = 90.00°, γ = 90.00°
Fractional coordinates of all 5 atoms:
Mg  0.000  0.500  0.000
Mg  0.500  0.000  0.000
Co  0.000  0.000  0.500
Ge  0.000  0.000  0.000
Te  0.500  0.500  0.500

Summary:
ΔE_f (raw): 0.16 eV/atom


An optimized crystal structure of LiSm2S3, computed with PBE.

a = 6.853 Å, b = 6.853 Å, c = 6.853 Å
α = 146.46°, β = 131.61°, γ = 60.16°
Fractional coordinates of all 6 atoms:
Li  0.000  0.000  0.000
Sm  0.335  0.335  0.000
Sm  0.665  0.665  0.000
S  0.161  0.661  0.500
S  0.500  0.000  0.500
S  0.839  0.339  0.500

Summary:
ΔE_f (raw): -1.89 eV/atom


An optimized crystal structure of SmBO, computed with PBE.

a = 15.132 Å, b = 3.221 Å, c = 3.381 Å
α = 90.00°, β = 90.00°, γ = 90.00°
Fractional coordinates of all 12 atoms:
Sm  0.149  0.250  0.003
Sm  0.351  0.750  0.503
Sm  0.649  0.250  0.497
Sm  0.851  0.750  0.997
B  0.004  0.750  0.500
B  0.496  0.250  0.000
B  0.504  0.750  0.000
B  0.996  0.250  0.500
O  0.192  0.750  0.503
O  0.308  0.250  0.003
O  0.692  0.750  0.997
O  0.808  0.250  0.497

Summary:
offset from the most stable computed form: 0.0 meV per atom
ΔE_f (raw): -1.81 eV/atom


An optimized crystal structure of HfTaRh2, computed with PBE.

a = 4.570 Å, b = 4.570 Å, c = 4.570 Å
α = 60.00°, β = 60.00°, γ = 60.00°
Fractional coordinates of all 4 atoms:
Hf  0.000  0.000  0.000
Ta  0.500  0.500  0.500
Rh  0.250  0.250  0.250
Rh  0.750  0.750  0.750

Summary:
offset from the most stable computed form: 64.8 meV per atom


An optimized crystal structure of Cr2CuSb, computed with PBE.

a = 9.605 Å, b = 9.605 Å, c = 9.605 Å
α = 157.88°, β = 157.88°, γ = 31.49°
Fractional coordinates of all 8 atoms:
Cr  0.053  0.625  0.928
Cr  0.375  0.303  0.428
Cr  0.697  0.125  0.072
Cr  0.875  0.947  0.572
Cu  0.000  0.000  0.000
Cu  0.750  0.250  0.500
Sb  0.250  0.750  0.500
Sb  0.500  0.500  0.000

Summary:
ΔE_f (raw): 0.67 eV/atom


An optimized crystal structure of TbTmSe, computed with PBE.

a = 6.594 Å, b = 6.594 Å, c = 6.594 Å
α = 148.53°, β = 148.53°, γ = 45.10°
Fractional coordinates of all 3 atoms:
Tb  0.000  0.000  0.000
Tm  0.708  0.708  0.000
Se  0.350  0.350  0.000

Summary:
offset from the most stable computed form: 143.1 meV per atom
ΔE_f (raw): -0.95 eV/atom


An optimized crystal structure of V2CrSe, computed with PBE.

a = 9.443 Å, b = 9.443 Å, c = 9.443 Å
α = 157.85°, β = 157.85°, γ = 31.53°
Fractional coordinates of all 8 atoms:
V  0.113  0.625  0.988
V  0.375  0.363  0.488
V  0.637  0.125  0.012
V  0.875  0.887  0.512
Cr  0.250  0.750  0.500
Cr  0.500  0.500  0.000
Se  0.000  0.000  0.000
Se  0.750  0.250  0.500

Summary:
offset from the most stable computed form: 160.8 meV per atom
ΔE_f (raw): 0.33 eV/atom


An optimized crystal structure of Tm3Tl3SbSe8, computed with PBE.

a = 9.129 Å, b = 9.129 Å, c = 9.129 Å
α = 53.53°, β = 53.53°, γ = 53.53°
Fractional coordinates of all 15 atoms:
Tm  0.000  0.500  0.500
Tm  0.500  0.000  0.500
Tm  0.500  0.500  0.000
Tl  0.000  0.000  0.500
Tl  0.000  0.500  0.000
Tl  0.500  0.000  0.000
Sb  0.000  0.000  0.000
Se  0.233  0.233  0.734
Se  0.233  0.734  0.233
Se  0.266  0.266  0.266
Se  0.266  0.767  0.767
Se  0.734  0.233  0.233
Se  0.734  0.734  0.734
Se  0.767  0.266  0.767
Se  0.767  0.767  0.266

Summary:
ΔE_f (raw): -1.12 eV/atom


An optimized crystal structure of CaHfGe, computed with PBE.

a = 4.344 Å, b = 4.344 Å, c = 7.800 Å
α = 90.00°, β = 90.00°, γ = 90.00°
Fractional coordinates of all 6 atoms:
Ca  0.250  0.250  0.149
Ca  0.750  0.750  0.851
Hf  0.250  0.750  0.500
Hf  0.750  0.250  0.500
Ge  0.250  0.250  0.733
Ge  0.750  0.750  0.267

Summary:
energy: -36.063 eV/cell


An optimized crystal structure of ZrMnSb2, computed with PBE.

a = 3.428 Å, b = 3.428 Å, c = 7.598 Å
α = 90.00°, β = 90.00°, γ = 103.38°
Fractional coordinates of all 4 atoms:
Zr  0.000  0.000  0.000
Mn  0.000  0.000  0.500
Sb  0.500  0.500  0.266
Sb  0.500  0.500  0.734

Summary:
ΔE_f (raw): -0.07 eV/atom


An optimized crystal structure of Nd3Sm2Hg, computed with PBE.

a = 6.252 Å, b = 6.252 Å, c = 11.649 Å
α = 95.19°, β = 95.19°, γ = 120.17°
Fractional coordinates of all 12 atoms:
Nd  0.078  0.421  0.759
Nd  0.237  0.237  0.240
Nd  0.421  0.078  0.759
Nd  0.579  0.922  0.241
Nd  0.763  0.763  0.760
Nd  0.922  0.579  0.241
Sm  0.000  0.000  0.500
Sm  0.336  0.664  0.500
Sm  0.500  0.500  0.000
Sm  0.664  0.336  0.500
Hg  0.167  0.833  0.000
Hg  0.833  0.167  0.000

Summary:
offset from the most stable computed form: 76.4 meV per atom


An optimized crystal structure of HgWCl, computed with PBE.

a = 9.040 Å, b = 8.756 Å, c = 3.046 Å
α = 85.47°, β = 74.90°, γ = 19.63°
Fractional coordinates of all 3 atoms:
Hg  0.000  0.000  0.000
W  0.349  0.349  0.651
Cl  0.736  0.736  0.264

Summary:
offset from the most stable computed form: 153.7 meV per atom
ΔE_f (raw): 0.47 eV/atom


An optimized crystal structure of TeRhPb2, computed with PBE.

a = 4.877 Å, b = 4.877 Å, c = 6.913 Å
α = 111.49°, β = 111.49°, γ = 47.10°
Fractional coordinates of all 4 atoms:
Te  0.000  0.000  0.000
Rh  0.698  0.698  0.974
Pb  0.171  0.171  0.659
Pb  0.359  0.359  0.327

Summary:
ΔE_f (raw): -0.07 eV/atom